(1)
DFT (PBE) results for crystalline DyTm9Th2 at its relaxed geometry.

a = 4.964 Å, b = 4.964 Å, c = 14.887 Å
α = 90.00°, β = 90.00°, γ = 90.00°
Positions (direct):
Dy1 0.000 0.000 0.000
Tm1 0.000 0.500 0.168
Tm2 0.000 0.500 0.500
Tm3 0.000 0.500 0.832
Tm4 0.500 0.000 0.168
Tm5 0.500 0.000 0.500
Tm6 0.500 0.000 0.832
Tm7 0.500 0.500 0.000
Tm8 0.500 0.500 0.333
Tm9 0.500 0.500 0.667
Th1 0.000 0.000 0.334
Th2 0.000 0.000 0.666

Summary:
The space-group type is P4/mmm (123). The value obtained for the total moment is 0.00 μB per cell. The energy above the most stable polymorph in this dataset comes out at 0.00 eV per formula unit. The formation energy is 0.033 eV per atom. The value obtained for the final energy is -59.3 eV per cell.

(2)
DFT (PBE) results for crystalline LaMo3Rh at its relaxed geometry.

a = 4.692 Å, b = 4.692 Å, c = 4.692 Å
α = 90.00°, β = 90.00°, γ = 90.00°
Positions (direct):
La1 0.000 0.000 0.000
Mo1 0.000 0.000 0.500
Mo2 0.000 0.500 0.000
Mo3 0.500 0.000 0.000
Rh1 0.500 0.500 0.500

Summary:
The space-group type is Pm-3m (221). The value obtained for the total moment is 0.00 μB per cell. The energy above the most stable polymorph in this dataset comes out at 5.61 eV per formula unit. The formation energy is 2.251 eV per atom. The value obtained for the final energy is -33.5 eV per cell.

(3)
DFT (PBE) results for crystalline LaPmNdPb at its relaxed geometry.

a = 5.661 Å, b = 5.661 Å, c = 5.661 Å
α = 60.00°, β = 60.00°, γ = 60.00°
Positions (direct):
La1 0.000 0.000 0.000
Pm1 0.500 0.500 0.500
Nd1 0.750 0.750 0.750
Pb1 0.250 0.250 0.250

Summary:
The space-group type is F-43m (216). The value obtained for the total moment is 0.01 μB per cell. The energy above the most stable polymorph in this dataset comes out at 0.59 eV per formula unit. The formation energy is -0.164 eV per atom. The value obtained for the final energy is -18.8 eV per cell.

(4)
DFT (PBE) results for crystalline Tb3Pm5Nd4 at its relaxed geometry.

a = 6.303 Å, b = 7.271 Å, c = 8.916 Å
α = 90.02°, β = 90.09°, γ = 90.11°
Positions (direct):
Tb1 0.000 0.000 0.000
Tb2 0.166 0.751 0.668
Tb3 0.834 0.249 0.332
Pm1 0.000 0.500 0.000
Pm2 0.333 0.000 0.333
Pm3 0.498 0.751 0.000
Pm4 0.502 0.249 0.000
Pm5 0.667 0.000 0.667
Nd1 0.165 0.249 0.667
Nd2 0.334 0.500 0.333
Nd3 0.666 0.500 0.667
Nd4 0.835 0.751 0.333

Summary:
The space-group type is P-1 (2). The value obtained for the total moment is 0.00 μB per cell. The energy above the most stable polymorph in this dataset comes out at 0.00 eV per formula unit. The formation energy is 0.013 eV per atom. The value obtained for the final energy is -56.6 eV per cell.

(5)
DFT (PBE) results for crystalline KZrNb2 at its relaxed geometry.

a = 5.028 Å, b = 5.028 Å, c = 5.028 Å
α = 60.00°, β = 60.00°, γ = 60.00°
Positions (direct):
K1 0.000 0.000 0.000
Zr1 0.500 0.500 0.500
Nb1 0.250 0.250 0.250
Nb2 0.750 0.750 0.750

Summary:
The space-group type is Fm-3m (225). The value obtained for the total moment is 0.00 μB per cell. The energy above the most stable polymorph in this dataset comes out at 0.00 eV per formula unit. The formation energy is 1.341 eV per atom. The value obtained for the final energy is -24.4 eV per cell.

(6)
DFT (PBE) results for crystalline Pr2HoGa at its relaxed geometry.

a = 3.723 Å, b = 10.018 Å, c = 6.732 Å
α = 90.00°, β = 106.04°, γ = 90.00°
Positions (direct):
Pr1 0.135 0.050 0.270
Pr2 0.135 0.450 0.270
Pr3 0.865 0.550 0.730
Pr4 0.865 0.950 0.730
Ho1 0.441 0.250 0.884
Ho2 0.559 0.750 0.116
Ga1 0.241 0.750 0.480
Ga2 0.759 0.250 0.520

Summary:
The space-group type is P2_1/m (11). The value obtained for the total moment is 0.00 μB per cell. The energy above the most stable polymorph in this dataset comes out at 0.00 eV per formula unit. The formation energy is -0.253 eV per atom. The value obtained for the final energy is -36.4 eV per cell.

(7)
DFT (PBE) results for crystalline CsTlTeIr2 at its relaxed geometry.

a = 5.238 Å, b = 5.238 Å, c = 6.766 Å
α = 90.00°, β = 90.00°, γ = 90.00°
Positions (direct):
Cs1 0.000 0.000 0.000
Tl1 0.500 0.500 0.500
Te1 0.000 0.000 0.500
Ir1 0.000 0.500 0.000
Ir2 0.500 0.000 0.000

Summary:
The space-group type is P4/mmm (123). The value obtained for the total moment is 3.39 μB per cell. The energy above the most stable polymorph in this dataset comes out at 0.00 eV per formula unit. The formation energy (no corrections) is 2.1987 eV per atom. The value obtained for the final energy is -13.1 eV per cell.

(8)
DFT (PBE) results for crystalline TbPm4Se5 at its relaxed geometry.

a = 17.151 Å, b = 17.151 Å, c = 17.151 Å
α = 14.02°, β = 14.02°, γ = 14.02°
Positions (direct):
Tb1 0.000 0.000 0.000
Pm1 0.200 0.200 0.200
Pm2 0.399 0.399 0.399
Pm3 0.601 0.601 0.601
Pm4 0.800 0.800 0.800
Se1 0.099 0.099 0.099
Se2 0.302 0.302 0.302
Se3 0.500 0.500 0.500
Se4 0.698 0.698 0.698
Se5 0.901 0.901 0.901

Summary:
The space-group type is R-3m (166). The value obtained for the total moment is 0.00 μB per cell. The energy above the most stable polymorph in this dataset comes out at 0.00 eV per formula unit. The formation energy (no corrections) is -1.8215 eV per atom. The value obtained for the final energy is -59.3 eV per cell.

(9)
DFT (PBE) results for crystalline Dy2ZrTl3Se6 at its relaxed geometry.

a = 7.045 Å, b = 7.045 Å, c = 8.226 Å
α = 98.22°, β = 98.22°, γ = 119.99°
Positions (direct):
Dy1 0.166 0.834 0.000
Dy2 0.834 0.166 0.000
Zr1 0.500 0.500 0.000
Tl1 0.000 0.000 0.500
Tl2 0.329 0.671 0.500
Tl3 0.671 0.329 0.500
Se1 0.112 0.433 0.797
Se2 0.248 0.248 0.207
Se3 0.433 0.112 0.797
Se4 0.567 0.888 0.203
Se5 0.752 0.752 0.793
Se6 0.888 0.567 0.203

Summary:
The space-group type is C2/m (12). The value obtained for the total moment is 0.44 μB per cell. The formation energy (no corrections) is -1.2190 eV per atom. The value obtained for the final energy is -60.4 eV per cell.

(10)
DFT (PBE) results for crystalline Mn2PPd at its relaxed geometry.

a = 4.077 Å, b = 4.077 Å, c = 4.077 Å
α = 60.00°, β = 60.00°, γ = 60.00°
Positions (direct):
Mn1 0.250 0.250 0.250
Mn2 0.750 0.750 0.750
P1 0.000 0.000 0.000
Pd1 0.500 0.500 0.500

Summary:
The space-group type is Fm-3m (225). The value obtained for the total moment is 0.00 μB per cell. The formation energy is 0.066 eV per atom. The value obtained for the final energy is -28.7 eV per cell.